No. 1
DFT (GGA-PBE) results for an optimized crystal structure of Dy2MgZnPt4.

Summary:
VASP energy = -5.47 eV/atom

Cell: 4.715 4.715 6.698 Å, 90.00 90.00 90.00°
Element x y z (fractional)
Dy 0.000 0.000 0.000
Dy 0.500 0.500 0.500
Mg 0.000 0.000 0.500
Zn 0.500 0.500 0.000
Pt 0.000 0.500 0.247
Pt 0.000 0.500 0.753
Pt 0.500 0.000 0.247
Pt 0.500 0.000 0.753

---

No. 2
DFT (GGA-PBE) results for an optimized crystal structure of Dy3Mg2ZnPt3.

Summary:
VASP energy = -5.01 eV/atom

Cell: 3.999 7.351 7.351 Å, 120.02 90.00 90.00°
Element x y z (fractional)
Dy 0.000 0.000 0.000
Dy 0.000 0.167 0.563
Dy 0.000 0.563 0.167
Mg 0.500 0.578 0.820
Mg 0.500 0.820 0.578
Zn 0.500 0.324 0.324
Pt 0.000 0.569 0.569
Pt 0.500 0.239 0.901
Pt 0.500 0.901 0.239

---

No. 3
DFT (GGA-PBE) results for an optimized crystal structure of Dy3Mg3Zn2Pt.

Summary:
VASP energy = -3.48 eV/atom

Cell: 7.455 7.455 4.190 Å, 90.00 90.00 120.00°
Element x y z (fractional)
Dy 0.000 0.405 0.000
Dy 0.405 0.000 0.000
Dy 0.595 0.595 0.000
Mg 0.000 0.761 0.500
Mg 0.239 0.239 0.500
Mg 0.761 0.000 0.500
Zn 0.333 0.667 0.500
Zn 0.667 0.333 0.500
Pt 0.000 0.000 0.000